First-principles (PBE+U) data for a relaxed structure of Na2VHgF6, as listed in the Alexandria database.

The final energy is -4.3445 eV per atom. For the calculated volume, the calculation gives 204.95 Å³/f.u. The magnetic moment is 0.0975 μB per atom.

The space group is Fm-3m (No. 225) and the conventional cell measures 9.359, 9.359 and 9.359 Å, with angles of 90.00, 90.00 and 90.00 degrees. Symmetry generates all atoms from Na at (0.250, 0.250, 0.250), V at (0.000, 0.000, 0.000), Hg at (0.000, 0.000, 0.500) and F at (0.000, 0.000, 0.201).